# 1
PBE Nd2Sm2Ho4Tm, optimized geometry; DFT formation energy = 0.004 eV/atom; M_tot = 0.000 μB per atom; total energy = -41.7 eV/cell
1.0
3.610 0.000 0.000
-1.805 9.354 -0.501
0.000 -3.702 8.860
Nd Sm Ho Tm
2 2 4 1
direct
0.335 0.670 0.999
0.665 0.330 0.001
0.853 0.706 0.337
0.147 0.294 0.663
0.815 0.631 0.664
0.185 0.369 0.336
0.519 0.038 0.332
0.481 0.962 0.668
0.000 0.000 0.000



# 2
PBE Nd6SmHo2Tm3, optimized geometry; DFT formation energy = 0.014 eV/atom; M_tot = 0.000 μB per atom; total energy = -55.7 eV/cell
1.0
-2.344 -5.331 2.292
5.097 2.545 2.590
-7.648 7.013 5.649
Nd Sm Ho Tm
6 1 2 3
direct
0.916 0.582 0.748
0.751 0.751 0.252
0.084 0.418 0.252
0.582 0.916 0.748
0.249 0.249 0.748
0.418 0.084 0.252
0.000 0.000 0.000
0.333 0.667 0.000
0.667 0.333 0.000
0.167 0.833 0.500
0.833 0.167 0.500
0.500 0.500 0.500



# 3
PBE Nd2Sm6HoTm3, optimized geometry; DFT formation energy = 0.018 eV/atom; M_tot = 0.000 μB per atom; total energy = -55.6 eV/cell
1.0
6.229 0.000 0.005
-3.114 5.396 0.005
-1.046 -1.811 11.686
Nd Sm Ho Tm
2 6 1 3
direct
0.333 0.667 0.000
0.667 0.333 0.000
0.915 0.583 0.746
0.752 0.752 0.254
0.085 0.417 0.254
0.583 0.915 0.746
0.248 0.248 0.746
0.417 0.085 0.254
0.000 0.000 0.000
0.166 0.834 0.500
0.834 0.166 0.500
0.500 0.500 0.500



# 4
PBE NdSm2Ho6Tm3, optimized geometry; DFT formation energy = 0.021 eV/atom; M_tot = 0.000 μB per atom; total energy = -54.8 eV/cell
1.0
-1.554 4.914 3.339
-2.222 -0.671 -5.686
-7.832 -7.157 5.009
Nd Sm Ho Tm
1 2 6 3
direct
0.000 0.000 0.000
0.333 0.667 0.000
0.667 0.333 0.000
0.914 0.581 0.746
0.752 0.752 0.254
0.086 0.419 0.254
0.581 0.914 0.746
0.248 0.248 0.746
0.419 0.086 0.254
0.167 0.833 0.500
0.833 0.167 0.500
0.500 0.500 0.500



# 5
PBE Nd2Sm2HoTm, optimized geometry; DFT formation energy = 0.061 eV/atom; M_tot = 0.000 μB per atom; total energy = -55.3 eV/cell
1.0
-5.002 1.655 -2.135
-1.423 -6.663 -1.832
-4.240 -1.505 8.767
Nd Sm Ho Tm
4 4 2 2
direct
0.500 0.008 0.000
0.000 0.258 0.178
0.500 0.508 0.000
0.000 0.758 0.822
0.000 0.258 0.837
0.500 0.257 0.332
0.000 0.758 0.163
0.500 0.757 0.668
0.500 0.257 0.658
0.500 0.757 0.342
0.000 0.007 0.500
0.000 0.507 0.500



# 6
PBE Nd2Sm3HoTm6, optimized geometry; DFT formation energy = 0.018 eV/atom; M_tot = 0.000 μB per atom; total energy = -54.9 eV/cell
1.0
6.172 0.000 0.006
-3.084 5.346 0.006
-1.036 -1.794 11.514
Nd Sm Ho Tm
2 3 1 6
direct
0.334 0.666 0.000
0.666 0.334 0.000
0.167 0.833 0.500
0.833 0.167 0.500
0.500 0.500 0.500
0.000 0.000 0.000
0.916 0.583 0.750
0.751 0.751 0.250
0.084 0.417 0.250
0.583 0.916 0.750
0.249 0.249 0.750
0.417 0.084 0.250



# 7
PBE Nd3SmY2Ho6, optimized geometry; DFT formation energy = 0.018 eV/atom; M_tot = 0.000 μB per atom; total energy = -59.2 eV/cell
1.0
-0.010 -0.373 -6.196
-3.076 -4.212 3.366
-8.521 8.185 0.555
Nd Sm Y Ho
3 1 2 6
direct
0.167 0.833 0.500
0.833 0.167 0.500
0.500 0.500 0.500
0.000 0.000 0.000
0.333 0.667 0.000
0.667 0.333 0.000
0.917 0.584 0.752
0.750 0.750 0.248
0.083 0.416 0.248
0.584 0.917 0.752
0.250 0.250 0.752
0.416 0.083 0.248



# 8
PBE Nd2Sm2Y6Ho, optimized geometry; DFT formation energy = 0.138 eV/atom; M_tot = 0.000 μB per atom; total energy = -60.8 eV/cell
1.0
-0.456 -2.113 -6.345
-0.656 -3.454 5.707
-9.297 7.635 0.695
Nd Sm Y Ho
2 2 6 1
direct
0.869 0.131 0.000
0.131 0.869 0.000
0.291 0.709 0.500
0.709 0.291 0.500
0.702 0.702 0.702
0.144 0.447 0.795
0.298 0.298 0.298
0.447 0.144 0.795
0.856 0.553 0.205
0.553 0.856 0.205
0.000 0.000 0.500



# 9
PBE NdSmY2Ho5, optimized geometry; DFT formation energy = 0.293 eV/atom; M_tot = 0.000 μB per atom; total energy = -85.3 eV/cell
1.0
8.872 0.000 0.000
0.000 8.872 0.000
-4.436 -4.436 7.454
Nd Sm Y Ho
2 2 4 10
direct
0.250 0.250 0.500
0.750 0.750 0.500
0.250 0.750 0.500
0.750 0.250 0.500
0.115 0.385 0.000
0.615 0.115 0.000
0.385 0.885 0.000
0.885 0.615 0.000
0.929 0.429 0.269
0.660 0.160 0.731
0.071 0.571 0.731
0.160 0.071 0.731
0.571 0.660 0.731
0.840 0.929 0.269
0.429 0.340 0.269
0.340 0.840 0.269
0.500 0.500 0.000
0.000 0.000 0.000



# 10
PBE NdSmY2Ho2, optimized geometry; DFT formation energy = 0.268 eV/atom; M_tot = 0.000 μB per atom; total energy = -59.9 eV/cell
1.0
3.415 0.000 0.000
0.000 6.574 0.000
0.000 0.000 17.905
Nd Sm Y Ho
2 2 4 4
direct
0.000 0.000 0.000
0.500 0.500 0.500
0.500 0.500 0.000
0.000 0.000 0.500
0.500 0.276 0.314
0.000 0.776 0.186
0.500 0.724 0.686
0.000 0.224 0.814
0.500 0.778 0.352
0.500 0.222 0.648
0.000 0.722 0.852
0.000 0.278 0.148



# 11
PBE Nd2SmY2Ho, optimized geometry; DFT formation energy = 0.273 eV/atom; M_tot = 0.000 μB per atom; total energy = -60.2 eV/cell
1.0
-1.957 0.316 2.767
4.993 -2.284 3.793
5.983 16.899 2.299
Nd Sm Y Ho
4 2 4 2
direct
0.500 0.268 0.317
0.000 0.768 0.183
0.500 0.732 0.683
0.000 0.232 0.817
0.500 0.500 0.000
0.000 0.000 0.500
0.500 0.771 0.353
0.500 0.229 0.647
0.000 0.729 0.853
0.000 0.271 0.147
0.000 0.000 0.000
0.500 0.500 0.500



# 12
PBE NdSm6Y2Ho3, optimized geometry; DFT formation energy = 0.015 eV/atom; M_tot = 0.000 μB per atom; total energy = -59.6 eV/cell
1.0
6.235 0.000 0.013
-3.116 5.401 0.013
-1.061 -1.837 11.701
Nd Sm Y Ho
1 6 2 3
direct
0.000 0.000 0.000
0.916 0.582 0.747
0.751 0.751 0.253
0.084 0.418 0.253
0.582 0.916 0.747
0.249 0.249 0.747
0.418 0.084 0.253
0.333 0.667 0.000
0.667 0.333 0.000
0.167 0.833 0.500
0.833 0.167 0.500
0.500 0.500 0.500



# 13
PBE Nd2Sm2YHo2, optimized geometry; DFT formation energy = 0.018 eV/atom; M_tot = 0.000 μB per atom; total energy = -34.5 eV/cell
1.0
-0.602 5.058 0.287
-5.356 -3.183 -0.488
0.718 -0.369 8.022
Nd Sm Y Ho
2 2 1 2
direct
0.143 0.287 0.428
0.857 0.713 0.572
0.571 0.143 0.718
0.429 0.857 0.282
0.000 0.000 0.000
0.715 0.430 0.140
0.285 0.570 0.860



# 14
PBE Nd2SmY2Ho2, optimized geometry; DFT formation energy = 0.162 eV/atom; M_tot = 0.031 μB per atom; total energy = -35.2 eV/cell
1.0
3.488 0.000 0.000
-1.744 11.019 -5.222
0.000 -7.159 9.570
Nd Sm Y Ho
2 1 2 2
direct
0.704 0.408 0.041
0.296 0.592 0.959
0.000 0.000 0.500
0.409 0.818 0.596
0.591 0.182 0.404
0.657 0.313 0.241
0.343 0.687 0.759



# 15
PBE NdSm2YHo, optimized geometry; DFT formation energy = 0.402 eV/atom; M_tot = 0.000 μB per atom; total energy = -46.5 eV/cell
1.0
-3.461 1.217 6.265
1.695 -7.909 2.473
4.135 5.772 1.163
Nd Sm Y Ho
2 4 2 2
direct
0.250 0.725 0.450
0.750 0.275 0.550
0.500 0.310 0.000
0.000 0.690 0.000
0.500 0.690 0.000
0.000 0.310 0.000
0.250 0.993 0.986
0.750 0.007 0.014
0.750 0.729 0.458
0.250 0.271 0.542



# 16
PBE NdSm2Y5Ho, optimized geometry; DFT formation energy = 0.252 eV/atom; M_tot = 0.000 μB per atom; total energy = -97.7 eV/cell
1.0
-6.762 1.823 -5.068
-4.603 -6.181 3.918
3.135 7.427 5.862
Nd Sm Y Ho
2 4 10 2
direct
0.250 0.750 0.500
0.750 0.250 0.500
0.118 0.382 0.000
0.618 0.118 0.000
0.382 0.882 0.000
0.882 0.618 0.000
0.931 0.431 0.276
0.656 0.156 0.724
0.069 0.569 0.724
0.156 0.069 0.724
0.569 0.656 0.724
0.844 0.931 0.276
0.431 0.344 0.276
0.344 0.844 0.276
0.500 0.500 0.000
0.000 0.000 0.000
0.250 0.250 0.500
0.750 0.750 0.500



# 17
PBE Nd2Sm4Y2Ho, optimized geometry; DFT formation energy = 0.003 eV/atom; M_tot = 0.000 μB per atom; total energy = -45.9 eV/cell
1.0
-2.616 0.629 2.469
-3.479 -7.842 -4.387
6.328 -1.730 7.144
Nd Sm Y Ho
2 4 2 1
direct
0.335 0.669 0.001
0.665 0.331 0.999
0.815 0.629 0.666
0.185 0.371 0.334
0.519 0.037 0.333
0.481 0.963 0.667
0.853 0.705 0.334
0.147 0.295 0.666
0.000 0.000 0.000



# 18
PBE Nd5Sm2YHo, optimized geometry; DFT formation energy = 0.282 eV/atom; M_tot = 0.000 μB per atom; total energy = -83.6 eV/cell
1.0
8.688 0.000 0.000
0.000 8.688 0.000
-4.344 -4.344 8.267
Nd Sm Y Ho
10 4 2 2
direct
0.928 0.428 0.283
0.645 0.145 0.717
0.072 0.572 0.717
0.145 0.072 0.717
0.572 0.645 0.717
0.855 0.928 0.283
0.428 0.355 0.283
0.355 0.855 0.283
0.500 0.500 0.000
0.000 0.000 0.000
0.120 0.380 0.000
0.620 0.120 0.000
0.380 0.880 0.000
0.880 0.620 0.000
0.250 0.250 0.500
0.750 0.750 0.500
0.250 0.750 0.500
0.750 0.250 0.500



# 19
PBE NdSm2YHo5, optimized geometry; DFT formation energy = 0.270 eV/atom; M_tot = 0.000 μB per atom; total energy = -82.3 eV/cell
1.0
-4.393 5.673 5.028
-5.831 -6.242 1.949
9.341 -1.784 2.540
Nd Sm Y Ho
2 4 2 10
direct
0.250 0.250 0.500
0.750 0.750 0.500
0.116 0.384 0.000
0.616 0.116 0.000
0.384 0.884 0.000
0.884 0.616 0.000
0.250 0.750 0.500
0.750 0.250 0.500
0.927 0.427 0.272
0.654 0.154 0.728
0.073 0.573 0.728
0.154 0.073 0.728
0.573 0.654 0.728
0.846 0.927 0.272
0.427 0.346 0.272
0.346 0.846 0.272
0.500 0.500 0.000
0.000 0.000 0.000



# 20
PBE NdSm3YHo, optimized geometry; DFT formation energy = 0.016 eV/atom; M_tot = 0.000 μB per atom; total energy = -59.7 eV/cell
1.0
-0.995 -3.376 3.687
7.879 -0.353 -1.720
1.863 7.163 7.061
Nd Sm Y Ho
2 6 2 2
direct
0.500 0.000 0.750
0.500 0.000 0.250
0.666 0.332 0.500
0.334 0.668 0.500
0.334 0.668 0.000
0.666 0.332 0.000
0.167 0.333 0.750
0.833 0.667 0.250
0.833 0.666 0.750
0.167 0.334 0.250
0.000 0.000 0.500
0.000 0.000 0.000